No. 1
Computed, not measured: Y2MoSe after structural relaxation at the PBE level of DFT.

The total DFT energy (no corrections) comes out at -29.049 eV per formula unit. As for the formation energy from raw total energies: -0.45 eV/atom.

The structure belongs to space group P4/mmm (No. 123); the cell edges are 3.605, 3.605 and 6.939 Å and the angles 90.00°, 90.00° and 90.00°. The distinct sites, in fractional coordinates, are Y at (0.000, 0.000, 0.245), Mo at (0.500, 0.500, 0.000) and Se at (0.500, 0.500, 0.500).



No. 2
Computed, not measured: YMoSe4 after structural relaxation at the PBE level of DFT.

The total DFT energy (no corrections) comes out at -27.974 eV per formula unit. As for the formation energy from raw total energies: 0.54 eV/atom.

The structure belongs to space group F-43m (No. 216); the cell edges are 8.150, 8.150 and 8.150 Å and the angles 90.00°, 90.00° and 90.00°. The distinct sites, in fractional coordinates, are Y at (0.000, 0.000, 0.000), Mo at (0.250, 0.250, 0.750) and Se at (0.125, 0.125, 0.375).



No. 3
Computed, not measured: YMoSe2 after structural relaxation at the PBE level of DFT.

The calculation puts the energy above the lowest structure with this stoichiometry at 242.9 meV/atom. The total DFT energy (no corrections) comes out at -26.199 eV per formula unit. As for the formation energy from raw total energies: -0.48 eV/atom.

The structure belongs to space group P2/m (No. 10); the cell edges are 3.547, 4.062 and 5.870 Å and the angles 90.00°, 93.16° and 90.00°. The distinct sites, in fractional coordinates, are Y at (0.000, 0.000, 0.000), Mo at (0.500, 0.000, 0.500) and Se at (0.372, 0.500, 0.740).



No. 4
Computed, not measured: YMoSe2 after structural relaxation at the PBE level of DFT.

The calculation puts the energy above the lowest structure with this stoichiometry at 272.8 meV/atom. The total DFT energy (no corrections) comes out at -26.080 eV per formula unit. As for the formation energy from raw total energies: -0.45 eV/atom.

The structure belongs to space group I-42d (No. 122); the cell edges are 5.468, 5.468 and 14.033 Å and the angles 90.00°, 90.00° and 90.00°. The distinct sites, in fractional coordinates, are Y at (0.000, 0.000, 0.000), Mo at (0.000, 0.000, 0.500) and Se at (0.193, 0.250, 0.625).



Among the records above, which one has the lowest formation energy from raw total energies? number 3